No. 1
Ti2NiPdI | GGA-PBEsol | optimized geometry

Properties
The value obtained for the raw formation energy is 0.344 eV/atom. As for the electronic total energy: -5.762 eV/atom.

Structure (CIF):
```
data_Ti2NiPdI
_symmetry_space_group_name_H-M 'P 4/m m m'
_symmetry_Int_Tables_number 123
_symmetry_space_group_name_Hall '-P 4 2'
_cell_length_a 4.469
_cell_length_b 4.469
_cell_length_c 4.731
_cell_angle_alpha 90.00
_cell_angle_beta 90.00
_cell_angle_gamma 90.00
loop_
_atom_site_label
_atom_site_type_symbol
_atom_site_fract_x
_atom_site_fract_y
_atom_site_fract_z
_atom_site_occupancy
Ti1 Ti 0.000 0.500 0.000 1
Ni1 Ni 0.000 0.000 0.000 1
Pd1 Pd 0.000 0.000 0.500 1
I1 I 0.500 0.500 0.500 1
```

No. 2
Pr4NiI5 | GGA-PBEsol | optimized geometry

Properties
The value obtained for the raw formation energy is -1.087 eV/atom. As for the electronic total energy: -4.659 eV/atom.

Structure (CIF):
```
data_Pr4NiI5
_symmetry_space_group_name_H-M 'P m m n'
_symmetry_Int_Tables_number 59
_cell_length_a 4.076
_cell_length_b 18.699
_cell_length_c 8.997
_cell_angle_alpha 90.00
_cell_angle_beta 90.00
_cell_angle_gamma 90.00
loop_
_symmetry_equiv_pos_as_xyz
'x,y,z'
'-x,-y,-z'
'-x+1/2,-y+1/2,z'
'x+1/2,y+1/2,-z'
'x+1/2,-y,-z'
'-x+1/2,y,z'
'-x,y+1/2,-z'
'x,-y+1/2,z'
loop_
_atom_site_label
_atom_site_type_symbol
_atom_site_fract_x
_atom_site_fract_y
_atom_site_fract_z
_atom_site_occupancy
Pr1 Pr 0.250 0.098 0.123 1
Pr2 Pr 0.250 0.750 0.087 1
Pr3 Pr 0.250 0.750 0.672 1
Ni1 Ni 0.250 0.250 0.119 1
I1 I 0.250 0.250 0.622 1
I2 I 0.250 0.578 0.153 1
I3 I 0.250 0.581 0.608 1
```

No. 3
Rb3NiI | GGA-PBEsol | optimized geometry

Properties
The value obtained for the raw formation energy is -0.037 eV/atom. As for the electronic total energy: -2.237 eV/atom.

Structure (CIF):
```
data_Rb3NiI
_symmetry_space_group_name_H-M 'P m -3 m'
_symmetry_Int_Tables_number 221
_symmetry_space_group_name_Hall '-P 4 2 3'
_cell_length_a 6.063
_cell_length_b 6.063
_cell_length_c 6.063
_cell_angle_alpha 90.00
_cell_angle_beta 90.00
_cell_angle_gamma 90.00
loop_
_atom_site_label
_atom_site_type_symbol
_atom_site_fract_x
_atom_site_fract_y
_atom_site_fract_z
_atom_site_occupancy
Rb1 Rb 0.000 0.000 0.500 1
Ni1 Ni 0.000 0.000 0.000 1
I1 I 0.500 0.500 0.500 1
```

No. 4
RbNi2I | GGA-PBEsol | optimized geometry

Properties
The value obtained for the raw formation energy is 0.876 eV/atom. As for the electronic total energy: -2.900 eV/atom.

Structure (CIF):
```
data_RbNi2I
_symmetry_space_group_name_H-M 'F m -3 m'
_symmetry_Int_Tables_number 225
_symmetry_space_group_name_Hall '-F 4 2 3'
_cell_length_a 6.736
_cell_length_b 6.736
_cell_length_c 6.736
_cell_angle_alpha 90.00
_cell_angle_beta 90.00
_cell_angle_gamma 90.00
loop_
_atom_site_label
_atom_site_type_symbol
_atom_site_fract_x
_atom_site_fract_y
_atom_site_fract_z
_atom_site_occupancy
Rb1 Rb 0.000 0.000 0.000 1
Ni1 Ni 0.250 0.250 0.250 1
I1 I 0.000 0.000 0.500 1
```

What is the raw formation energy in the first record? 0.344 eV/atom